First-principles (GGA+U) data for a relaxed structure of Rb2Cr3F10, as listed in Alexandria via LeMat-Bulk.

Properties
Magnetization = 20.0 Bohr magnetons per cell
Electronic total energy = -5.63 eV per atom

The structure in POSCAR format:
```
Rb2Cr3F10
1.0
5.9830 0.0000 -1.9472
-1.0045 7.2848 -3.0863
0.0652 0.0260 10.3655
F Cr Rb
20 6 4
Cartesian
3.3564 3.9879 4.6246
3.0241 0.0130 4.2092
-0.3198 7.1373 4.7201
0.0653 5.3905 0.2008
2.9060 1.2702 -1.2364
1.6873 3.3230 0.7074
4.2826 3.6424 -3.1004
4.9784 1.9203 5.1312
0.6959 3.6424 -1.9331
5.1135 5.9169 5.5463
2.0071 0.1736 1.7043
5.3635 0.1736 0.6120
0.0085 3.9879 5.7142
0.0326 0.0130 5.1828
3.0366 7.1373 3.6277
3.8552 5.3292 1.6802
1.1885 1.9817 3.6518
-0.0697 1.3939 -0.2143
5.0353 3.3230 -0.3822
2.1377 6.0407 6.5684
4.4610 0.0000 -1.4519
-0.0171 3.4187 -0.0526
5.0608 3.8921 5.3846
1.1101 0.1227 3.4109
3.9336 7.1882 1.9211
1.5220 0.0000 -0.4953
3.9767 2.4416 2.0534
2.0772 2.0743 6.3822
1.0671 4.8692 3.2787
2.9666 5.2365 -1.0502
```